VASP calculation (GGA-PBE) on a relaxed Hf4Bi2AsP crystal.

- total energy (eV/atom) = -7.9584
- space-group type = P-3m1, No. 164

a = 3.8879 Å, b = 3.8879 Å, c = 13.4688 Å
α = 90.00°, β = 90.00°, γ = 120.00°
Atoms (fractional coordinates):
1 Hf 0.3333 0.6667 0.1052
2 Hf 0.3333 0.6667 0.4049
3 Hf 0.6667 0.3333 0.5951
4 Hf 0.6667 0.3333 0.8948
5 Bi 0.3333 0.6667 0.7462
6 Bi 0.6667 0.3333 0.2538
7 As 0.0000 0.0000 0.0000
8 P 0.0000 0.0000 0.5000



VASP calculation (GGA-PBE) on a relaxed Hf4Bi2SbAs crystal.

- total energy (eV/atom) = -7.5166
- space-group type = P-3m1, No. 164

a = 4.0167 Å, b = 4.0167 Å, c = 13.6336 Å
α = 90.00°, β = 90.00°, γ = 120.00°
Atoms (fractional coordinates):
1 Hf 0.3333 0.6667 0.0968
2 Hf 0.3333 0.6667 0.3796
3 Hf 0.6667 0.3333 0.6204
4 Hf 0.6667 0.3333 0.9032
5 Bi 0.3333 0.6667 0.7599
6 Bi 0.6667 0.3333 0.2401
7 Sb 0.0000 0.0000 0.5000
8 As 0.0000 0.0000 0.0000



VASP calculation (GGA-PBE) on a relaxed Hf4BiSbAs2 crystal.

- total energy (eV/atom) = -7.8684
- space-group type = P-6m2, No. 187

a = 3.9260 Å, b = 3.9260 Å, c = 13.2988 Å
α = 90.00°, β = 90.00°, γ = 120.00°
Atoms (fractional coordinates):
1 Hf 0.0000 0.0000 0.1409
2 Hf 0.0000 0.0000 0.8591
3 Hf 0.6667 0.3333 0.3509
4 Hf 0.6667 0.3333 0.6491
5 Bi 0.0000 0.0000 0.5000
6 Sb 0.6667 0.3333 0.0000
7 As 0.3333 0.6667 0.2467
8 As 0.3333 0.6667 0.7533



VASP calculation (GGA-PBE) on a relaxed HfZrBiAs crystal.

- energy above the lowest structure with this stoichiometry (meV per atom) = 2
- space-group type = P-3m1, No. 164

a = 3.9578 Å, b = 3.9578 Å, c = 13.5480 Å
α = 90.00°, β = 90.00°, γ = 120.00°
Atoms (fractional coordinates):
1 Hf 0.3333 0.6667 0.3981
2 Hf 0.6667 0.3333 0.6019
3 Zr 0.3333 0.6667 0.1040
4 Zr 0.6667 0.3333 0.8960
5 Bi 0.3333 0.6667 0.7475
6 Bi 0.6667 0.3333 0.2525
7 As 0.0000 0.0000 0.0000
8 As 0.0000 0.0000 0.5000



VASP calculation (GGA-PBE) on a relaxed HfZrBiAs crystal.

- energy above the lowest structure with this stoichiometry (meV per atom) = 0
- space-group type = P6_3mc, No. 186

a = 3.9539 Å, b = 3.9539 Å, c = 13.5656 Å
α = 90.00°, β = 90.00°, γ = 120.00°
Atoms (fractional coordinates):
1 Hf 0.3333 0.6667 0.0000
2 Hf 0.6667 0.3333 0.5000
3 Zr 0.3333 0.6667 0.2940
4 Zr 0.6667 0.3333 0.7940
5 Bi 0.3333 0.6667 0.6460
6 Bi 0.6667 0.3333 0.1460
7 As 0.0000 0.0000 0.3995
8 As 0.0000 0.0000 0.8995



VASP calculation (GGA-PBE) on a relaxed HfZrBiAs crystal.

- energy above the lowest structure with this stoichiometry (meV per atom) = 1
- space-group type = P-6m2, No. 187

a = 3.9568 Å, b = 3.9568 Å, c = 13.5344 Å
α = 90.00°, β = 90.00°, γ = 120.00°
Atoms (fractional coordinates):
1 Hf 0.0000 0.0000 0.1458
2 Hf 0.0000 0.0000 0.8542
3 Zr 0.3333 0.6667 0.3516
4 Zr 0.3333 0.6667 0.6484
5 Bi 0.0000 0.0000 0.5000
6 Bi 0.3333 0.6667 0.0000
7 As 0.6667 0.3333 0.2463
8 As 0.6667 0.3333 0.7537



VASP calculation (GGA-PBE) on a relaxed HgBiAs2 crystal.

- total energy (eV/atom) = -3.0467
- space-group type = F-43m, No. 216

a = 5.1107 Å, b = 5.1107 Å, c = 5.1107 Å
α = 60.00°, β = 60.00°, γ = 60.00°
Atoms (fractional coordinates):
1 Hg 0.0000 0.0000 0.0000
2 Bi 0.7500 0.7500 0.7500
3 As 0.2500 0.2500 0.2500
4 As 0.5000 0.5000 0.5000



VASP calculation (GGA-PBE) on a relaxed HgBi2As crystal.

- total energy (eV/atom) = -3.0012
- space-group type = F-43m, No. 216

a = 5.3301 Å, b = 5.3301 Å, c = 5.3301 Å
α = 60.00°, β = 60.00°, γ = 60.00°
Atoms (fractional coordinates):
1 Hg 0.0000 0.0000 0.0000
2 Bi 0.2500 0.2500 0.2500
3 Bi 0.5000 0.5000 0.5000
4 As 0.7500 0.7500 0.7500



VASP calculation (GGA-PBE) on a relaxed K2Hg2BiAs crystal.

- energy above the lowest structure with this stoichiometry (meV per atom) = 0
- space-group type = P3m1, No. 156

a = 4.8441 Å, b = 4.8441 Å, c = 10.3843 Å
α = 90.00°, β = 90.00°, γ = 120.00°
Atoms (fractional coordinates):
1 K 0.0000 0.0000 0.0000
2 K 0.0000 0.0000 0.4653
3 Hg 0.3333 0.6667 0.2365
4 Hg 0.6667 0.3333 0.7649
5 Bi 0.3333 0.6667 0.7158
6 As 0.6667 0.3333 0.2303



VASP calculation (GGA-PBE) on a relaxed K2Hg2BiAs crystal.

- energy above the lowest structure with this stoichiometry (meV per atom) = 7
- space-group type = P-6m2, No. 187

a = 4.8736 Å, b = 4.8736 Å, c = 10.3171 Å
α = 90.00°, β = 90.00°, γ = 120.00°
Atoms (fractional coordinates):
1 K 0.0000 0.0000 0.2338
2 K 0.0000 0.0000 0.7662
3 Hg 0.3333 0.6667 0.5000
4 Hg 0.6667 0.3333 0.0000
5 Bi 0.6667 0.3333 0.5000
6 As 0.3333 0.6667 0.0000



VASP calculation (GGA-PBE) on a relaxed HgBiAsO5 crystal.

- total energy (eV/atom) = -5.2305
- space-group type = P-1, No. 2

a = 5.3818 Å, b = 6.9680 Å, c = 7.0180 Å
α = 109.10°, β = 95.83°, γ = 110.12°
Atoms (fractional coordinates):
1 Hg 0.1810 0.3201 0.1345
2 Hg 0.8190 0.6799 0.8655
3 Bi 0.4355 0.9754 0.7407
4 Bi 0.5645 0.0246 0.2593
5 As 0.1553 0.3495 0.6579
6 As 0.8447 0.6505 0.3421
7 O 0.0718 0.1641 0.4062
8 O 0.1392 0.6569 0.2635
9 O 0.2427 0.9513 0.9919
10 O 0.3501 0.2929 0.8273
11 O 0.3689 0.6075 0.6770
12 O 0.6311 0.3925 0.3230
13 O 0.6499 0.7071 0.1727
14 O 0.7573 0.0487 0.0081
15 O 0.8608 0.3431 0.7365
16 O 0.9282 0.8359 0.5938



VASP calculation (GGA-PBE) on a relaxed HoBiAs crystal.

- energy above the lowest structure with this stoichiometry (meV per atom) = 0
- space-group type = F-43m, No. 216

a = 4.9429 Å, b = 4.9429 Å, c = 4.9429 Å
α = 60.00°, β = 60.00°, γ = 60.00°
Atoms (fractional coordinates):
1 Ho 0.0000 0.0000 0.0000
2 Bi 0.5000 0.5000 0.5000
3 As 0.7500 0.7500 0.7500